! Ca2DyAgS4 | Alexandria | PBE | optimized geometry; values from VASP
&SYSTEM
  ibrav = 0, nat = 8, ntyp = 4
/
ATOMIC_SPECIES
Ca 40.08 Ca.upf
Dy 162.50 Dy.upf
Ag 107.87 Ag.upf
S 32.06 S.upf
CELL_PARAMETERS angstrom
6.894 0.000 0.000
0.000 4.012 0.000
-2.316 0.000 6.493
ATOMIC_POSITIONS angstrom
Ca 0.000 0.000 0.000
Ca -1.158 2.006 3.247
Dy 2.289 0.000 3.247
Ag 3.447 2.006 0.000
S 0.035 0.000 4.830
S 1.151 2.006 1.698
S 4.542 0.000 1.663
S 3.427 2.006 4.795
! Raw formation energy   -1.691 eV per atom
! Space-group type   P2/m

---

! Li2MgSi | Alexandria | PBE | optimized geometry; values from VASP
&SYSTEM
  ibrav = 0, nat = 4, ntyp = 3
/
ATOMIC_SPECIES
Li 6.94 Li.upf
Mg 24.30 Mg.upf
Si 28.09 Si.upf
CELL_PARAMETERS angstrom
2.890 0.000 0.000
0.000 4.067 0.000
0.000 0.000 5.775
ATOMIC_POSITIONS angstrom
Li 0.000 0.000 0.000
Li 1.445 2.033 1.460
Mg 0.000 0.000 3.055
Si 1.445 2.033 4.469
! Raw formation energy   -0.079 eV per atom
! Space-group type   Pmm2

---

! La3Cu | Alexandria | PBE | optimized geometry; values from VASP
&SYSTEM
  ibrav = 0, nat = 4, ntyp = 2
/
ATOMIC_SPECIES
La 138.91 La.upf
Cu 63.55 Cu.upf
CELL_PARAMETERS angstrom
4.920 0.000 0.000
0.000 4.920 0.000
0.000 0.000 4.920
ATOMIC_POSITIONS angstrom
La 0.000 0.000 2.460
La 0.000 2.460 0.000
La 2.460 0.000 0.000
Cu 2.460 2.460 2.460
! Space-group type   Pm-3m

---

! MnBeB2 | Alexandria | PBE | optimized geometry; values from VASP
&SYSTEM
  ibrav = 0, nat = 8, ntyp = 3
/
ATOMIC_SPECIES
Mn 54.94 Mn.upf
Be 9.01 Be.upf
B 10.81 B.upf
CELL_PARAMETERS angstrom
-2.716 2.716 2.174
2.716 -2.716 2.174
2.716 2.716 -2.174
ATOMIC_POSITIONS angstrom
Mn 0.000 0.000 0.000
Mn 0.000 2.716 1.087
Be 2.716 0.000 1.087
Be 0.000 0.000 2.174
B 1.358 -1.241 1.630
B 1.474 1.358 0.543
B 1.358 3.957 -0.543
B 1.241 1.358 2.717
! Space-group type   I-42d

---

! CaMoRh2 | Alexandria | PBE | optimized geometry; values from VASP
&SYSTEM
  ibrav = 0, nat = 4, ntyp = 3
/
ATOMIC_SPECIES
Ca 40.08 Ca.upf
Mo 95.94 Mo.upf
Rh 102.91 Rh.upf
CELL_PARAMETERS angstrom
1.465 0.846 9.059
-1.465 0.846 9.059
0.000 -1.691 9.059
ATOMIC_POSITIONS angstrom
Ca 0.000 0.000 0.000
Mo 0.000 0.000 13.588
Rh 0.000 0.000 6.634
Rh 0.000 0.000 20.543
! Space-group type   R-3m
! Energy above the lowest structure with this stoichiometry   0.2956 eV per atom

---

! BiMo3Rh | Alexandria | PBE | optimized geometry; values from VASP
&SYSTEM
  ibrav = 0, nat = 5, ntyp = 3
/
ATOMIC_SPECIES
Bi 208.98 Bi.upf
Mo 95.94 Mo.upf
Rh 102.91 Rh.upf
CELL_PARAMETERS angstrom
4.787 0.000 0.000
0.000 4.787 0.000
0.000 0.000 4.787
ATOMIC_POSITIONS angstrom
Bi 0.000 0.000 0.000
Mo 0.000 2.393 2.393
Mo 2.393 0.000 2.393
Mo 2.393 2.393 0.000
Rh 2.393 2.393 2.393
! Space-group type   Pm-3m
! Energy above the lowest structure with this stoichiometry   0.0000 eV per atom

---

! MnAl2Pd2 | Alexandria | PBE | optimized geometry; values from VASP
&SYSTEM
  ibrav = 0, nat = 10, ntyp = 3
/
ATOMIC_SPECIES
Mn 54.94 Mn.upf
Al 26.98 Al.upf
Pd 106.42 Pd.upf
CELL_PARAMETERS angstrom
7.176 0.000 0.000
0.000 7.176 0.000
0.000 0.000 2.801
ATOMIC_POSITIONS angstrom
Mn 0.000 0.000 0.000
Mn 3.588 3.588 0.000
Al 1.072 2.515 0.000
Al 2.515 6.103 0.000
Al 4.660 1.072 0.000
Al 6.103 4.660 0.000
Pd 1.079 4.666 1.400
Pd 2.509 1.079 1.400
Pd 4.666 6.097 1.400
Pd 6.097 2.509 1.400
! Space-group type   P4/mbm
! Energy above the lowest structure with this stoichiometry   0.0000 eV per atom

---

! Pr5NpCo4 | Alexandria | PBE | optimized geometry; values from VASP
&SYSTEM
  ibrav = 0, nat = 10, ntyp = 3
/
ATOMIC_SPECIES
Pr 140.91 Pr.upf
Np 237.00 Np.upf
Co 58.93 Co.upf
CELL_PARAMETERS angstrom
9.067 -2.036 0.000
9.067 2.036 0.000
-2.663 0.000 6.765
ATOMIC_POSITIONS angstrom
Pr 0.000 0.000 0.000
Pr 3.889 0.000 4.779
Pr 5.671 0.000 1.546
Pr 9.800 0.000 5.219
Pr 11.582 0.000 1.986
Np -1.332 0.000 3.382
Co 1.062 0.000 3.196
Co 6.902 0.000 4.483
Co 8.570 0.000 2.282
Co 14.409 0.000 3.569
! Space-group type   C2/m

---

! ThGaSn | Alexandria | PBE | optimized geometry; values from VASP
&SYSTEM
  ibrav = 0, nat = 3, ntyp = 3
/
ATOMIC_SPECIES
Th 232.04 Th.upf
Ga 69.72 Ga.upf
Sn 118.71 Sn.upf
CELL_PARAMETERS angstrom
-2.154 2.154 4.440
2.154 -2.154 4.440
2.154 2.154 -4.440
ATOMIC_POSITIONS angstrom
Th 0.000 0.000 0.000
Ga 0.000 0.000 3.023
Sn 0.000 0.000 5.752
! Space-group type   I4mm

---

! MnSe3 | Alexandria | PBE | optimized geometry; values from VASP
&SYSTEM
  ibrav = 0, nat = 4, ntyp = 2
/
ATOMIC_SPECIES
Mn 54.94 Mn.upf
Se 78.96 Se.upf
CELL_PARAMETERS angstrom
0.000 3.360 3.360
3.360 0.000 3.360
3.360 3.360 0.000
ATOMIC_POSITIONS angstrom
Mn 0.000 0.000 0.000
Se 1.680 1.680 1.680
Se 3.360 3.360 3.360
Se 5.041 5.041 5.041
! Raw formation energy   0.403 eV per atom
! Space-group type   Fm-3m

---

! MgBePt2 | Alexandria | PBE | optimized geometry; values from VASP
&SYSTEM
  ibrav = 0, nat = 4, ntyp = 3
/
ATOMIC_SPECIES
Mg 24.30 Mg.upf
Be 9.01 Be.upf
Pt 195.08 Pt.upf
CELL_PARAMETERS angstrom
2.842 0.000 0.000
0.000 4.109 0.000
-1.412 0.000 4.916
ATOMIC_POSITIONS angstrom
Mg 0.000 0.000 0.000
Be 0.004 2.055 3.681
Pt 0.007 0.000 2.677
Pt 1.427 2.055 1.140
! Space-group type   Pm

---

! AlRu2Cl | Alexandria | PBE | optimized geometry; values from VASP
&SYSTEM
  ibrav = 0, nat = 4, ntyp = 3
/
ATOMIC_SPECIES
Al 26.98 Al.upf
Ru 101.07 Ru.upf
Cl 35.45 Cl.upf
CELL_PARAMETERS angstrom
2.857 0.000 0.000
0.000 4.241 0.000
0.000 0.000 4.925
ATOMIC_POSITIONS angstrom
Al 0.000 0.000 0.000
Ru 0.000 2.120 2.462
Ru 1.428 2.120 0.000
Cl 1.428 0.000 2.462
! Raw formation energy   0.325 eV per atom
! Space-group type   Pmmm
! Energy above the lowest structure with this stoichiometry   0.4303 eV per atom

---

! SrMgRu2 | Alexandria | PBE | optimized geometry; values from VASP
&SYSTEM
  ibrav = 0, nat = 4, ntyp = 3
/
ATOMIC_SPECIES
Sr 87.62 Sr.upf
Mg 24.30 Mg.upf
Ru 101.07 Ru.upf
CELL_PARAMETERS angstrom
3.033 0.000 0.000
0.000 3.033 0.000
0.000 0.000 8.391
ATOMIC_POSITIONS angstrom
Sr 0.000 0.000 0.000
Mg 0.000 0.000 4.196
Ru 1.516 1.516 2.407
Ru 1.516 1.516 5.985
! Space-group type   P4/mmm

---

! Er8Hg2Pd | Alexandria | PBE | optimized geometry; values from VASP
&SYSTEM
  ibrav = 0, nat = 11, ntyp = 3
/
ATOMIC_SPECIES
Er 167.26 Er.upf
Hg 200.59 Hg.upf
Pd 106.42 Pd.upf
CELL_PARAMETERS angstrom
8.827 -2.569 0.000
8.827 2.569 0.000
-1.582 0.000 6.597
ATOMIC_POSITIONS angstrom
Er -0.008 0.000 1.802
Er 2.281 0.000 5.371
Er 5.235 0.000 3.524
Er 7.165 0.000 0.373
Er 8.908 0.000 6.224
Er 10.838 0.000 3.073
Er 13.792 0.000 1.225
Er 16.081 0.000 4.794
Hg 2.989 0.000 1.556
Hg 13.084 0.000 5.040
Pd 8.036 0.000 3.298
! Space-group type   C2/m

---

! LiLuZrNi | Alexandria | PBE | optimized geometry; values from VASP
&SYSTEM
  ibrav = 0, nat = 4, ntyp = 4
/
ATOMIC_SPECIES
Li 6.94 Li.upf
Lu 174.97 Lu.upf
Zr 91.22 Zr.upf
Ni 58.69 Ni.upf
CELL_PARAMETERS angstrom
0.000 3.331 3.331
3.331 0.000 3.331
3.331 3.331 0.000
ATOMIC_POSITIONS angstrom
Li 0.000 0.000 0.000
Lu 4.996 4.996 4.996
Zr 1.665 1.665 1.665
Ni 3.331 3.331 3.331
! Space-group type   F-43m

---

! Ba4InCu | Alexandria | PBE | optimized geometry; values from VASP
&SYSTEM
  ibrav = 0, nat = 6, ntyp = 3
/
ATOMIC_SPECIES
Ba 137.33 Ba.upf
In 114.82 In.upf
Cu 63.55 Cu.upf
CELL_PARAMETERS angstrom
0.000 5.123 5.123
5.123 0.000 5.123
5.123 5.123 0.000
ATOMIC_POSITIONS angstrom
Ba 1.283 1.283 1.283
Ba 3.840 3.840 1.283
Ba 3.840 1.283 3.840
Ba 1.283 3.840 3.840
In 5.123 5.123 5.123
Cu 7.685 7.685 7.685
! Space-group type   F-43m
! Energy above the lowest structure with this stoichiometry   0.6346 eV per atom

---

! TeOsCl2 | Alexandria | PBE | optimized geometry; values from VASP
&SYSTEM
  ibrav = 0, nat = 4, ntyp = 3
/
ATOMIC_SPECIES
Te 127.60 Te.upf
Os 190.23 Os.upf
Cl 35.45 Cl.upf
CELL_PARAMETERS angstrom
1.760 1.016 10.029
-1.760 1.016 10.029
0.000 -2.032 10.029
ATOMIC_POSITIONS angstrom
Te 0.000 0.000 0.000
Os 0.000 0.000 15.044
Cl 0.000 0.000 6.262
Cl 0.000 0.000 23.826
! Raw formation energy   0.347 eV per atom
! Space-group type   R-3m
! Energy above the lowest structure with this stoichiometry   0.3919 eV per atom

---

! PbS2I | Alexandria | PBE | optimized geometry; values from VASP
&SYSTEM
  ibrav = 0, nat = 8, ntyp = 3
/
ATOMIC_SPECIES
Pb 207.20 Pb.upf
S 32.06 S.upf
I 126.90 I.upf
CELL_PARAMETERS angstrom
-3.814 3.814 4.003
3.814 -3.814 4.003
3.814 3.814 -4.003
ATOMIC_POSITIONS angstrom
Pb 0.000 0.000 0.000
Pb 0.000 3.814 2.002
S 5.722 1.712 -1.001
S 1.712 1.907 1.001
S -1.907 2.102 3.002
S 2.102 1.907 5.004
I 3.814 0.000 2.002
I 0.000 0.000 4.003
! Raw formation energy   0.250 eV per atom
! Space-group type   I-42d
! Energy above the lowest structure with this stoichiometry   0.5200 eV per atom

---

! Nd2Y2Th | Alexandria | PBE | optimized geometry; values from VASP
&SYSTEM
  ibrav = 0, nat = 5, ntyp = 3
/
ATOMIC_SPECIES
Nd 144.24 Nd.upf
Y 88.91 Y.upf
Th 232.04 Th.upf
CELL_PARAMETERS angstrom
5.444 0.000 0.000
0.000 3.554 0.000
-2.713 0.000 8.601
ATOMIC_POSITIONS angstrom
Nd 0.003 0.000 3.403
Nd 2.728 0.000 5.198
Y 0.008 1.777 6.841
Y 2.723 1.777 1.760
Th 0.000 0.000 0.000
! Space-group type   P2/m
! Energy above the lowest structure with this stoichiometry   0.0000 eV per atom

---

! La2NdZn2Ge2 | Alexandria | PBE | optimized geometry; values from VASP
&SYSTEM
  ibrav = 0, nat = 7, ntyp = 4
/
ATOMIC_SPECIES
La 138.91 La.upf
Nd 144.24 Nd.upf
Zn 65.41 Zn.upf
Ge 72.64 Ge.upf
CELL_PARAMETERS angstrom
2.114 1.220 11.864
-2.114 1.220 11.864
0.000 -2.440 11.864
ATOMIC_POSITIONS angstrom
La 0.000 0.000 4.295
La 0.000 0.000 31.296
Nd 0.000 0.000 0.000
Zn 0.000 0.000 14.056
Zn 0.000 0.000 21.535
Ge 0.000 0.000 9.768
Ge 0.000 0.000 25.823
! Space-group type   R-3m

---

Listing spin magnetization for the structures above in their given order: 0.000; 0.000; 0.000; 0.252; 0.000; 0.480; 0.000; 0.167; 0.000; 0.807; 0.000; 0.000; 0.634; 0.000; 0.000; 0.000; 0.093; 0.000; 0.000; 0.160 μB/atom.
Listing VASP energy for the structures above in their given order: -5.187; -2.790; -4.592; -6.016; -6.730; -7.287; -5.698; -6.556; -5.015; -4.503; -4.924; -5.710; -4.865; -4.160; -5.263; -1.879; -4.169; -3.129; -5.923; -4.287 eV/atom.